No. 1
# BaLaTl3 PBE optimized geometry
# energy above the lowest structure with this stoichiometry: 2.413 eV/f.u.
# calculated formation energy: 0.579 eV/atom
# E: -2.210 eV/atom
# M_tot: 0.000 μB per cell
data_BaLaTl3
_chemical_formula_sum 'Ba1 La1 Tl3'
_cell_length_a 5.9582
_cell_length_b 5.9582
_cell_length_c 5.9582
_cell_angle_alpha 90.00
_cell_angle_beta 90.00
_cell_angle_gamma 90.00
_symmetry_space_group_name_H-M 'P m -3 m'
_symmetry_Int_Tables_number 221
_symmetry_space_group_name_Hall '-P 4 2 3'
loop_
_atom_site_label
_atom_site_fract_x
_atom_site_fract_y
_atom_site_fract_z
Ba1 0.0000 0.0000 0.0000
La1 0.5000 0.5000 0.5000
Tl1 0.0000 0.0000 0.5000

=====

No. 2
# Cd2CoPb PBE optimized geometry
# calculated formation energy: 0.410 eV/atom
# E: -2.751 eV/atom
# M_tot: 2.252 μB per cell
data_Cd2CoPb
_chemical_formula_sum 'Cd4 Co2 Pb2'
_cell_length_a 4.3492
_cell_length_b 4.3492
_cell_length_c 8.6636
_cell_angle_alpha 90.00
_cell_angle_beta 90.00
_cell_angle_gamma 90.00
_symmetry_space_group_name_H-M 'I -4 m 2'
_symmetry_Int_Tables_number 119
_symmetry_space_group_name_Hall 'I -4 -2'
loop_
_atom_site_label
_atom_site_fract_x
_atom_site_fract_y
_atom_site_fract_z
Cd1 0.0000 0.0000 0.0000
Cd2 0.0000 0.5000 0.2500
Co1 0.0000 0.5000 0.7500
Pb1 0.0000 0.0000 0.5000

=====

No. 3
# Pr3Hg2N PBE optimized geometry
# formation energy (no corrections): -0.7059 eV/atom
# E: -4.584 eV/atom
# M_tot: 0.000 μB per cell
data_Pr3Hg2N
_chemical_formula_sum 'Pr6 Hg4 N2'
_cell_length_a 16.0457
_cell_length_b 5.1107
_cell_length_c 3.6764
_cell_angle_alpha 90.00
_cell_angle_beta 90.23
_cell_angle_gamma 90.00
_symmetry_space_group_name_H-M 'C 1 2/m 1'
_symmetry_Int_Tables_number 12
_symmetry_space_group_name_Hall '-C 2y'
loop_
_atom_site_label
_atom_site_fract_x
_atom_site_fract_y
_atom_site_fract_z
Pr1 0.0000 0.0000 0.0000
Pr2 0.1126 0.5000 0.5009
Hg1 0.1979 0.0000 0.9992
N1 0.0000 0.5000 0.0000

=====

Question: What is the formula in the third record?
Answer: Pr3Hg2N

=====

Question: Which value of E does entry 3 give?
Answer: -4.584 eV/atom

=====

Question: What is the formula in the second record?
Answer: Cd2CoPb

=====

Question: What is the M_tot in the first record?
Answer: 0.000 μB per cell